#i
TlReRu2 | PBE | optimized geometry

Unit cell a=4.7736 b=4.7736 c=5.0961 alpha=99.55 beta=99.55 gamma=34.98
Last column: nearest neighbours and their distance in Å.
Positions (direct):
Tl  0.0000  0.0000  0.0000  6 Ru 2.84-2.94, 2 Tl 2.87, 4 Re 2.92
Re  0.5000  0.5000  0.5000  6 Ru 2.67-2.77, 2 Re 2.87, 4 Tl 2.92
Ru  0.2393  0.2393  0.7104  4 Ru 2.62-2.87, 3 Re 2.67-2.77, 1 Tl 2.84
Ru  0.7607  0.7607  0.2896  4 Ru 2.62-2.87, 3 Re 2.67-2.77, 1 Tl 2.84

density: 15.014 g/cm³
space-group type: C2/m (12)
density of states at the Fermi level: 4.1 states/eV per cell
crystal system: monoclinic



#ii
TlReRu2 | PBE | optimized geometry

Unit cell a=6.3081 b=6.3081 c=6.3081 alpha=153.68 beta=140.73 gamma=47.89
Last column: nearest neighbours and their distance in Å.
Positions (direct):
Tl  0.0000  0.0000  0.0000  6 Ru 2.74-2.87, 2 Tl 2.87
Re  0.2378  0.7378  0.5000  6 Ru 2.50-2.68
Ru  0.4152  0.4152  0.0000  2 Re 2.50, 4 Tl 2.74
Ru  0.6677  0.1677  0.5000  4 Re 2.68, 2 Tl 2.87, 2 Ru 2.87

density: 14.020 g/cm³
space-group type: Imm2 (44)
density of states at the Fermi level: 5.2 states/eV per cell
crystal system: orthorhombic



#iii
TlReRu2 | PBE | optimized geometry

Unit cell a=4.9226 b=4.9226 c=4.8561 alpha=100.95 beta=100.95 gamma=34.35
Last column: nearest neighbours and their distance in Å.
Positions (direct):
Tl  0.0000  0.0000  0.0000  7 Ru 2.74-2.89, 2 Tl 2.91, 3 Re 2.94-3.05
Re  0.2333  0.2333  0.6756  5 Ru 2.62-2.79, 2 Re 2.91
Ru  0.5003  0.5003  0.5092  3 Re 2.62-2.79, 4 Ru 2.78-2.91, 4 Tl 2.79-2.87
Ru  0.7605  0.7605  0.2414  2 Re 2.62, 3 Tl 2.74-2.89, 4 Ru 2.78-2.91

density: 15.125 g/cm³
space-group type: Cm (8)
density of states at the Fermi level: 4.7 states/eV per cell
crystal system: monoclinic



#iv
TlReRu2 | PBE | optimized geometry

Unit cell a=2.8962 b=2.8962 c=7.7333 alpha=90.00 beta=90.00 gamma=90.00
Last column: nearest neighbours and their distance in Å.
Positions (direct):
Tl  0.0000  0.0000  0.0000  4 Tl 2.90, 8 Ru 2.98
Re  0.0000  0.0000  0.5000  8 Ru 2.67, 4 Re 2.90
Ru  0.5000  0.5000  0.2792  4 Re 2.67, 4 Ru 2.90, 4 Tl 2.98
Ru  0.5000  0.5000  0.7208  4 Re 2.67, 4 Ru 2.90, 4 Tl 2.98

density: 15.174 g/cm³
space-group type: P4/mmm (123)
density of states at the Fermi level: 3.0 states/eV per cell
crystal system: tetragonal



The energetic minimum among the shown structures is #iv; the next structure lies 25.8 kJ/mol of atoms above.